Computed, not measured: an optimized crystal structure of Pr3Y2Zn3 at the GGA-PBE level of DFT.

a = 3.7071 Å, b = 5.3721 Å, c = 11.4363 Å
α = 103.58°, β = 99.33°, γ = 90.00°
Fractional coordinates of all 8 atoms:
Pr (0.3810, 0.3810, 0.7620)
Pr (0.6190, 0.6190, 0.2380)
Pr (0.5000, 0.0000, 0.0000)
Y (0.2705, 0.7705, 0.5410)
Y (0.7295, 0.2295, 0.4590)
Zn (0.8805, 0.8805, 0.7610)
Zn (0.0000, 0.5000, 0.0000)
Zn (0.1195, 0.1195, 0.2390)

volume = 27.29 Å³/atom
DFT formation energy = -0.23 eV per atom
total magnetic moment = 0.000 Bohr magnetons per cell
space-group type = Immm

***

Computed, not measured: an optimized crystal structure of PrY2Zn at the GGA-PBE level of DFT.

a = 4.8321 Å, b = 4.8196 Å, c = 4.8196 Å
α = 90.00°, β = 90.00°, γ = 90.00°
Fractional coordinates of all 4 atoms:
Pr (0.5000, 0.5000, 0.5000)
Y (0.0000, 0.0000, 0.5000)
Y (0.0000, 0.5000, 0.0000)
Zn (0.5000, 0.0000, 0.0000)

energy above the most stable polymorph in this dataset = 147 meV per atom
volume = 28.06 Å³/atom
DFT formation energy = -0.03 eV per atom
total magnetic moment = 0.002 Bohr magnetons per cell
space-group type = P4/mmm

***

Computed, not measured: an optimized crystal structure of Pr2Y8Zn at the GGA-PBE level of DFT.

a = 5.5655 Å, b = 6.4778 Å, c = 10.0986 Å
α = 94.41°, β = 106.00°, γ = 90.00°
Fractional coordinates of all 11 atoms:
Pr (0.7570, 0.6687, 0.5141)
Pr (0.2430, 0.3313, 0.4859)
Y (0.4245, 0.3865, 0.8491)
Y (0.6532, 0.1278, 0.3064)
Y (0.8452, 0.1878, 0.6904)
Y (0.9585, 0.7454, 0.9170)
Y (0.1548, 0.8122, 0.3096)
Y (0.3468, 0.8722, 0.6936)
Y (0.5755, 0.6135, 0.1509)
Y (0.0415, 0.2546, 0.0830)
Zn (0.5000, 0.0000, 0.0000)

volume = 31.71 Å³/atom
DFT formation energy = -0.01 eV per atom
total magnetic moment = 0.001 Bohr magnetons per cell
space-group type = C2/m

***

Computed, not measured: an optimized crystal structure of PrYZn2 at the GGA-PBE level of DFT.

a = 3.6230 Å, b = 3.6230 Å, c = 7.3896 Å
α = 90.00°, β = 90.00°, γ = 90.00°
Fractional coordinates of all 4 atoms:
Pr (0.5000, 0.5000, 0.5000)
Y (0.5000, 0.5000, 0.0000)
Zn (0.0000, 0.0000, 0.7701)
Zn (0.0000, 0.0000, 0.2299)

energy above the most stable polymorph in this dataset = 0 meV per atom
volume = 24.25 Å³/atom
DFT formation energy = -0.32 eV per atom
total magnetic moment = 0.001 Bohr magnetons per cell
space-group type = P4/mmm

***

Computed, not measured: an optimized crystal structure of Pr12Y3Zn at the GGA-PBE level of DFT.

a = 5.1235 Å, b = 5.1235 Å, c = 20.6976 Å
α = 90.00°, β = 90.00°, γ = 90.00°
Fractional coordinates of all 16 atoms:
Pr (0.5000, 0.5000, 0.0000)
Pr (0.5000, 0.5000, 0.2437)
Pr (0.5000, 0.5000, 0.5000)
Pr (0.5000, 0.5000, 0.7563)
Pr (0.5000, 0.0000, 0.1179)
Pr (0.5000, 0.0000, 0.3726)
Pr (0.5000, 0.0000, 0.6274)
Pr (0.5000, 0.0000, 0.8821)
Pr (0.0000, 0.5000, 0.1179)
Pr (0.0000, 0.5000, 0.3726)
Pr (0.0000, 0.5000, 0.6274)
Pr (0.0000, 0.5000, 0.8821)
Y (0.0000, 0.0000, 0.2456)
Y (0.0000, 0.0000, 0.5000)
Y (0.0000, 0.0000, 0.7544)
Zn (0.0000, 0.0000, 0.0000)

volume = 33.96 Å³/atom
DFT formation energy = 0.01 eV per atom
total magnetic moment = 0.000 Bohr magnetons per cell
space-group type = P4/mmm

***

Computed, not measured: an optimized crystal structure of Pr3YZn at the GGA-PBE level of DFT.

a = 7.5732 Å, b = 7.5732 Å, c = 7.6279 Å
α = 106.03°, β = 116.79°, γ = 105.54°
Fractional coordinates of all 10 atoms:
Pr (0.8366, 0.0380, 0.2589)
Pr (0.2210, 0.4223, 0.2589)
Pr (0.7790, 0.5777, 0.7411)
Pr (0.7280, 0.4446, 0.1726)
Pr (0.1634, 0.9620, 0.7411)
Pr (0.2720, 0.5554, 0.8274)
Y (0.7038, 0.0606, 0.7643)
Y (0.2962, 0.9394, 0.2357)
Zn (0.6243, 0.7559, 0.3803)
Zn (0.3757, 0.2441, 0.6197)

volume = 33.38 Å³/atom
DFT formation energy = 0.05 eV per atom
total magnetic moment = 0.000 Bohr magnetons per cell
space-group type = C2/m

***

Computed, not measured: an optimized crystal structure of Pr2YZn at the GGA-PBE level of DFT.

a = 5.1919 Å, b = 5.1919 Å, c = 9.5374 Å
α = 105.79°, β = 105.79°, γ = 90.00°
Fractional coordinates of all 8 atoms:
Pr (0.0000, 0.5000, 0.0000)
Pr (0.5000, 0.0000, 0.0000)
Pr (0.3555, 0.3555, 0.7109)
Pr (0.6445, 0.6445, 0.2891)
Y (0.1512, 0.1512, 0.3024)
Y (0.8488, 0.8488, 0.6976)
Zn (0.2500, 0.7500, 0.5000)
Zn (0.7500, 0.2500, 0.5000)

energy above the most stable polymorph in this dataset = 0 meV per atom
volume = 29.66 Å³/atom
DFT formation energy = -0.16 eV per atom
total magnetic moment = 0.000 Bohr magnetons per cell
space-group type = I4/mmm

***

Computed, not measured: an optimized crystal structure of PrY4Zn at the GGA-PBE level of DFT.

a = 3.6011 Å, b = 3.6011 Å, c = 13.8857 Å
α = 90.00°, β = 90.00°, γ = 90.00°
Fractional coordinates of all 6 atoms:
Pr (0.0000, 0.0000, 0.0000)
Y (0.5000, 0.5000, 0.1867)
Y (0.0000, 0.0000, 0.6264)
Y (0.0000, 0.0000, 0.3736)
Y (0.5000, 0.5000, 0.8133)
Zn (0.5000, 0.5000, 0.5000)

energy above the most stable polymorph in this dataset = 0 meV per atom
volume = 30.01 Å³/atom
DFT formation energy = -0.10 eV per atom
total magnetic moment = 0.000 Bohr magnetons per cell
space-group type = P4/mmm

***

Among the records above, which one has the lowest DFT formation energy?
PrYZn2

***

Which of these has the lowest volume?
PrYZn2

***

Among the records above, which one has the highest DFT formation energy?
Pr3YZn

***

Among the records above, which one has the highest volume?
Pr12Y3Zn